## CaCu2Te (SCAN)

Data for a crystal of CaCu2Te relaxed with PBEsol.

a b c (Å): 3.1863 3.7678 6.6551
angles (deg): 90.00 90.00 90.00
Last column: nearest neighbours and their distance in Å.
Fractional positions:
Ca: 0.0000 0.0000 0.0000  1 Cu 2.73
Cu: 0.0000 0.0000 0.4099  4 Cu 2.55, 1 Ca 2.73
Cu: 0.5000 0.5000 0.3120  4 Cu 2.55, 1 Te 2.64
Te: 0.5000 0.5000 0.7083  1 Cu 2.64

As for the calculated total energy: -19.454 eV per atom. For the total magnetization, the calculation gives 0.0000 μB/atom. The crystal system is orthorhombic. Its density is 6.1 g/cm³. The calculated volume is 79.9 Å³/f.u. The value obtained for the density of states at the Fermi level is 1.4 states/eV per cell.

---

## TlCrSbTe2 (SCAN)

Data for a crystal of TlCrSbTe2 relaxed with PBEsol.

a b c (Å): 5.6685 5.6685 5.5169
angles (deg): 90.00 90.00 90.00
Last column: nearest neighbours and their distance in Å.
Fractional positions:
Tl: 0.0000 0.0000 0.0000  2 Sb 2.76, 4 Te 2.83
Cr: 0.5000 0.5000 0.5000  8 Te 3.95, 4 Sb 4.01
Sb: 0.0000 0.0000 0.5000  2 Tl 2.76
Te: 0.0000 0.5000 0.0000  2 Tl 2.83
Te: 0.5000 0.0000 0.0000  2 Tl 2.83

As for the calculated total energy: -39.542 eV per atom. For the total magnetization, the calculation gives 0.7113 μB/atom. The crystal system is tetragonal. Its density is 5.9 g/cm³. The calculated volume is 177.3 Å³/f.u. The value obtained for the density of states at the Fermi level is 4.7 states/eV per cell.